--- a ---
DFT (PBE) results for a relaxed Cs3SbO4 crystal.

Calculated volume ... 223.8 Å³ per cell
DOS at the Fermi energy ... 0.000 states/eV/atom

a = 6.7593 Å, b = 6.7593 Å, c = 6.7593 Å
α = 119.74°, β = 93.17°, γ = 116.65°
Closest atoms and distances in Å follow each position.
Element x y z (fractional)
Cs  0.0000  0.0000  0.0000  2 O 2.76
Cs  0.2809  0.5182  0.7627  3 O 2.86-3.17
Cs  0.7555  0.5182  0.2373  3 O 2.86-3.17
Sb  0.5525  0.0525  0.5000  4 O 1.91-1.92
O  0.2310  0.9025  0.3285  1 Sb 1.92
O  0.5740  0.9025  0.6715  1 Sb 1.92
O  0.7081  0.4384  0.7302  1 Sb 1.91
O  0.7081  0.9779  0.2698  1 Sb 1.91

=====

--- b ---
DFT (PBE) results for a relaxed Cs3SbO4 crystal.

Calculated volume ... 855.2 Å³ per cell
DOS at the Fermi energy ... 0.000 states/eV/atom

a = 13.1187 Å, b = 9.3809 Å, c = 6.9493 Å
α = 90.00°, β = 90.00°, γ = 90.00°
Closest atoms and distances in Å follow each position.
Element x y z (fractional)
Cs  0.0773  0.2500  0.1551  4 O 2.93-3.16
Cs  0.1483  0.0083  0.7080  5 O 3.03-3.27
Cs  0.1483  0.4917  0.7080  5 O 3.03-3.27
Cs  0.3517  0.5083  0.2080  5 O 3.03-3.27
Cs  0.3517  0.9917  0.2080  5 O 3.03-3.27
Cs  0.4227  0.7500  0.6551  4 O 2.93-3.16
Cs  0.5773  0.2500  0.3449  4 O 2.93-3.16
Cs  0.6483  0.0083  0.7920  5 O 3.03-3.27
Cs  0.6483  0.4917  0.7920  5 O 3.03-3.27
Cs  0.8517  0.5083  0.2920  5 O 3.03-3.27
Cs  0.8517  0.9917  0.2920  5 O 3.03-3.27
Cs  0.9227  0.7500  0.8449  4 O 2.93-3.16
Sb  0.1117  0.7500  0.2780  4 O 1.92
Sb  0.3883  0.2500  0.7780  4 O 1.92
Sb  0.6117  0.7500  0.2220  4 O 1.92
Sb  0.8883  0.2500  0.7220  4 O 1.92
O  0.0077  0.2500  0.5620  1 Sb 1.92
O  0.1128  0.5823  0.1205  1 Sb 1.92
O  0.1128  0.9177  0.1205  1 Sb 1.92
O  0.2303  0.7500  0.4400  1 Sb 1.92
O  0.2697  0.2500  0.9400  1 Sb 1.92
O  0.3872  0.0823  0.6205  1 Sb 1.92
O  0.3872  0.4177  0.6205  1 Sb 1.92
O  0.4923  0.7500  0.0620  1 Sb 1.92
O  0.5077  0.2500  0.9380  1 Sb 1.92
O  0.6128  0.5823  0.3795  1 Sb 1.92
O  0.6128  0.9177  0.3795  1 Sb 1.92
O  0.7303  0.7500  0.0600  1 Sb 1.92
O  0.7697  0.2500  0.5600  1 Sb 1.92
O  0.8872  0.0823  0.8795  1 Sb 1.92
O  0.8872  0.4177  0.8795  1 Sb 1.92
O  0.9923  0.7500  0.4380  1 Sb 1.92

=====

Last place for stability: a

=====

--- a ---
DFT (PBE) results for a relaxed Cs2SbO crystal.

Calculated volume ... 148.9 Å³ per cell
DOS at the Fermi energy ... 1.061 states/eV/atom

a = 5.9491 Å, b = 5.9491 Å, c = 5.9491 Å
α = 60.00°, β = 60.00°, γ = 60.00°
Closest atoms and distances in Å follow each position.
Element x y z (fractional)
Cs  0.2500  0.2500  0.2500  4 O 3.64, 4 Sb 3.64
Cs  0.7500  0.7500  0.7500  4 O 3.64, 4 Sb 3.64
Sb  0.0000  0.0000  0.0000  8 Cs 3.64
O  0.5000  0.5000  0.5000  8 Cs 3.64

=====

--- b ---
DFT (PBE) results for a relaxed Cs2SbO crystal.

Calculated volume ... 346.8 Å³ per cell
DOS at the Fermi energy ... 0.879 states/eV/atom

a = 9.0800 Å, b = 9.0800 Å, c = 9.0800 Å
α = 93.49°, β = 93.49°, γ = 151.44°
Closest atoms and distances in Å follow each position.
Element x y z (fractional)
Cs  0.3750  0.1895  0.3145  2 O 3.26, 2 Sb 3.63
Cs  0.8105  0.1250  0.1855  2 O 3.26, 2 Sb 3.63
Cs  0.8750  0.0605  0.6855  2 O 3.26, 2 Sb 3.63
Cs  0.9395  0.6250  0.8145  2 O 3.26, 2 Sb 3.63
Sb  0.2500  0.7500  0.5000  2 O 2.24
Sb  0.5000  0.5000  0.0000  2 O 2.24
O  0.0000  0.0000  0.0000  2 Sb 2.24
O  0.7500  0.2500  0.5000  2 Sb 2.24

=====

Last place for stability: a

=====

--- a ---
DFT (PBE) results for a relaxed CsSb2TeO crystal.

Calculated volume ... 136.9 Å³ per cell
DOS at the Fermi energy ... 0.907 states/eV/atom

a = 4.9841 Å, b = 4.9841 Å, c = 5.5116 Å
α = 90.00°, β = 90.00°, γ = 90.00°
Closest atoms and distances in Å follow each position.
Element x y z (fractional)
Cs  0.0000  0.0000  0.0000  4 Te 3.52, 8 Sb 3.72
Sb  0.0000  0.5000  0.5000  2 O 2.49
Sb  0.5000  0.0000  0.5000  2 O 2.49
Te  0.5000  0.5000  0.0000  2 O 2.76
O  0.5000  0.5000  0.5000  4 Sb 2.49, 2 Te 2.76

=====

--- b ---
DFT (PBE) results for a relaxed CsSb2TeO crystal.

Calculated volume ... 295.1 Å³ per cell
DOS at the Fermi energy ... 2.961 states/eV/atom

a = 6.6637 Å, b = 6.6637 Å, c = 6.6467 Å
α = 90.00°, β = 90.00°, γ = 90.00°
Closest atoms and distances in Å follow each position.
Element x y z (fractional)
Cs  0.0000  0.0000  0.0000  2 Te 3.32, 4 Sb 3.33
Sb  0.0000  0.5000  0.0000  2 Cs 3.33
Sb  0.5000  0.0000  0.0000  2 Cs 3.33
Te  0.0000  0.0000  0.5000  2 Cs 3.32
O  0.5000  0.5000  0.5000  8 Sb 4.71, 4 Te 4.71

=====

Last place for stability: b